A relaxed structure of LaPrUO6, computed with PBE-GGA.

Output
As for the size of the total moment: 0.0 μB/f.u. The symmetry is P-31c, No. 163. As for the calculated total energy: -8.926 eV per atom.

abc: 6.0265 6.0265 9.6344
angles: 90.00 90.00 120.00
Last column: nearest neighbours and their distance in Å.
Element x y z (fractional)
La1 0.0000 0.0000 0.0000  6 O 2.49
La2 0.0000 0.0000 0.5000  6 O 2.49
Pr1 0.3333 0.6667 0.2500  6 O 2.40
Pr2 0.6667 0.3333 0.7500  6 O 2.40
U1 0.3333 0.6667 0.7500  6 O 2.10
U2 0.6667 0.3333 0.2500  6 O 2.10
O1 0.0373 0.3686 0.6357  1 U 2.10
O2 0.0373 0.6687 0.8643  1 U 2.10
O3 0.3313 0.3686 0.8643  1 U 2.10
O4 0.3313 0.9627 0.6357  1 U 2.10
O5 0.3686 0.0373 0.1357  1 U 2.10
O6 0.3686 0.3313 0.3643  1 U 2.10
O7 0.6314 0.6687 0.6357  1 U 2.10
O8 0.6314 0.9627 0.8643  1 U 2.10
O9 0.6687 0.0373 0.3643  1 U 2.10
O10 0.6687 0.6314 0.1357  1 U 2.10
O11 0.9627 0.3313 0.1357  1 U 2.10
O12 0.9627 0.6314 0.3643  1 U 2.10


A relaxed structure of Sr2TmTc3O12, computed with PBE-GGA.

Output
As for the size of the total moment: 0.5 μB/f.u. The symmetry is R-3m, No. 166. As for the calculated total energy: -7.401 eV per atom.

abc: 6.7173 6.7173 6.7173
angles: 66.68 66.68 66.68
Last column: nearest neighbours and their distance in Å.
Element x y z (fractional)
Sr1 0.1206 0.1206 0.1206  3 O 2.43
Sr2 0.8794 0.8794 0.8794  3 O 2.43
Tm1 0.5000 0.5000 0.5000  6 O 2.40
Tc1 0.0000 0.5000 0.5000  6 O 1.89-1.94
Tc2 0.5000 0.0000 0.5000  6 O 1.89-1.94
Tc3 0.5000 0.5000 0.0000  6 O 1.89-1.94
O1 0.0954 0.6335 0.6335  1 Tc 1.89
O2 0.2194 0.2194 0.6001  2 Tc 1.94
O3 0.2194 0.6001 0.2194  2 Tc 1.94
O4 0.3665 0.3665 0.9046  1 Tc 1.89
O5 0.3665 0.9046 0.3665  1 Tc 1.89
O6 0.3999 0.7806 0.7806  2 Tc 1.94
O7 0.6001 0.2194 0.2194  2 Tc 1.94
O8 0.6335 0.0954 0.6335  1 Tc 1.89
O9 0.6335 0.6335 0.0954  1 Tc 1.89
O10 0.7806 0.3999 0.7806  2 Tc 1.94
O11 0.7806 0.7806 0.3999  2 Tc 1.94
O12 0.9046 0.3665 0.3665  1 Tc 1.89


A relaxed structure of Cu2TeOs2, computed with PBE-GGA.

Output
As for the size of the total moment: 0.0 μB/f.u. The symmetry is P4/mbm, No. 127. As for the calculated total energy: -5.931 eV per atom. The energy above the most stable polymorph in this dataset comes out at 49 meV/atom.

abc: 7.5744 7.5744 2.7891
angles: 90.00 90.00 90.00
Last column: nearest neighbours and their distance in Å.
Element x y z (fractional)
Cu1 0.1750 0.3250 0.0000  6 Os 2.63-2.65, 2 Cu 2.79, 2 Te 2.80
Cu2 0.3250 0.8250 0.0000  6 Os 2.63-2.65, 2 Cu 2.79, 2 Te 2.80
Cu3 0.6750 0.1750 0.0000  6 Os 2.63-2.65, 2 Cu 2.79, 2 Te 2.80
Cu4 0.8250 0.6750 0.0000  6 Os 2.63-2.65, 2 Cu 2.79, 2 Te 2.80
Te1 0.0000 0.0000 0.0000  2 Te 2.79, 4 Cu 2.80
Te2 0.5000 0.5000 0.0000  2 Te 2.79, 4 Cu 2.80
Os1 0.1165 0.6165 0.5000  3 Os 2.50-2.79, 6 Cu 2.63-2.65
Os2 0.3835 0.1165 0.5000  3 Os 2.50-2.79, 6 Cu 2.63-2.65
Os3 0.6165 0.8835 0.5000  3 Os 2.50-2.79, 6 Cu 2.63-2.65
Os4 0.8835 0.3835 0.5000  3 Os 2.50-2.79, 6 Cu 2.63-2.65


A relaxed structure of Hf2BMoI, computed with PBE-GGA.

Output
As for the size of the total moment: 0.0 μB/f.u. The symmetry is P4/mmm, No. 123. As for the calculated total energy: -6.009 eV per atom.

abc: 5.0285 5.0285 5.1564
angles: 90.00 90.00 90.00
Last column: nearest neighbours and their distance in Å.
Element x y z (fractional)
Hf1 0.0000 0.5000 0.0000  2 Mo 2.51
Hf2 0.5000 0.0000 0.0000  2 Mo 2.51
B1 0.0000 0.0000 0.5000  4 I 3.56, 8 Hf 3.60
Mo1 0.5000 0.5000 0.0000  4 Hf 2.51, 2 I 2.58
I1 0.5000 0.5000 0.5000  2 Mo 2.58


A relaxed structure of K3LaPb, computed with PBE-GGA.

Output
As for the size of the total moment: 2.1 μB/f.u. The symmetry is Pm-3m, No. 221. As for the calculated total energy: -1.405 eV per atom. The formation enthalpy at 0 K is 0.98 eV per atom.

abc: 6.6088 6.6088 6.6088
angles: 90.00 90.00 90.00
Last column: nearest neighbours and their distance in Å.
Element x y z (fractional)
K1 0.0000 0.0000 0.5000  2 La 3.30
K2 0.0000 0.5000 0.0000  2 La 3.30
K3 0.5000 0.0000 0.0000  2 La 3.30
La1 0.0000 0.0000 0.0000  6 K 3.30
Pb1 0.5000 0.5000 0.5000  12 K 4.67


A relaxed structure of BeCd2Ru, computed with PBE-GGA.

Output
As for the size of the total moment: 0.0 μB/f.u. The symmetry is Amm2, No. 38. As for the calculated total energy: -3.639 eV per atom. The formation enthalpy at 0 K is 0.07 eV per atom.

abc: 3.2236 6.9040 6.9040
angles: 25.19 90.00 90.00
Last column: nearest neighbours and their distance in Å.
Element x y z (fractional)
Be1 0.0000 0.0000 0.0000  4 Ru 2.26, 1 Cd 2.50
Cd1 0.0000 0.8141 0.8141  1 Be 2.50
Cd2 0.5000 0.1501 0.1501  2 Be 2.59
Ru1 0.5000 0.4620 0.4620  4 Be 2.26


- The highest size of the total moment belongs to which entry?
  K3LaPb


- Which of these has the highest size of the total moment?
  K3LaPb